# 1
The following is a PBE calculation of NdPaTe2O8 after structural relaxation, from the Alexandria database.

Computed properties:
spin magnetization	0.000	μB/cell
symmetry	No. 119
crystal system	tetragonal
raw formation energy	-24.81	eV/f.u.

POSCAR file:
```
NdPaTe2O8
1.0
0.066 -6.339 -0.036
5.472 2.318 -2.206
-0.816 2.003 5.959
O Te Pa Nd
8 2 1 1
direct
0.948 0.646 0.698
0.895 0.715 0.180
0.285 0.464 0.180
0.354 0.052 0.302
0.750 0.052 0.698
0.536 0.715 0.820
0.285 0.105 0.820
0.948 0.250 0.302
0.500 0.500 0.000
0.750 0.250 0.500
0.000 0.000 0.000
0.250 0.750 0.500
```


# 2
The following is a PBE calculation of Ca2LaCl after structural relaxation, from the Alexandria database.

Computed properties:
spin magnetization	0.000	μB/cell
offset from the most stable computed form	0	meV/atom
symmetry	No. 166
crystal system	trigonal
raw formation energy	-3.24	eV/f.u.

POSCAR file:
```
Ca2LaCl
1.0
-8.448 4.449 -4.559
-9.449 0.775 -4.697
-10.085 2.806 -1.537
Cl Ca La
1 2 1
direct
0.250 0.250 0.250
0.985 0.985 0.985
0.515 0.515 0.515
0.750 0.750 0.750
```


# 3
The following is a PBE calculation of CeNbSn2 after structural relaxation, from the Alexandria database.

Computed properties:
spin magnetization	1.133	μB/cell
symmetry	No. 123
crystal system	tetragonal
energy relative to the elements	-0.97	eV per formula unit

POSCAR file:
```
CeNbSn2
1.0
3.690 0.000 0.000
0.000 3.690 0.000
0.000 0.000 6.975
Sn Nb Ce
2 1 1
direct
0.000 0.000 0.211
0.000 0.000 0.789
0.500 0.500 0.000
0.500 0.500 0.500
```


# 4
The following is a PBE calculation of HoTeO4 after structural relaxation, from the Alexandria database.

Computed properties:
spin magnetization	0.000	μB/cell
offset from the most stable computed form	372	meV/atom
symmetry	No. 82
crystal system	tetragonal
raw formation energy	-9.94	eV/f.u.

POSCAR file:
```
HoTeO4
1.0
-2.543 0.288 1.985
1.824 -0.361 5.031
-0.603 5.212 1.114
Ho Te O
1 1 4
direct
0.250 0.500 0.500
0.500 0.000 0.000
0.724 0.714 0.220
0.563 0.780 0.714
0.056 0.220 0.286
0.657 0.286 0.780
```


# 5
The following is a PBE calculation of RbNa2PmI6 after structural relaxation, from the Alexandria database.

Computed properties:
spin magnetization	0.000	μB/cell
symmetry	No. 146
crystal system	trigonal
raw formation energy	-13.59	eV/f.u.

POSCAR file:
```
RbNa2PmI6
1.0
8.288 0.002 0.002
4.146 7.176 0.001
4.146 2.392 7.613
I Na Rb Pm
6 2 1 1
direct
0.159 0.355 0.757
0.730 0.159 0.757
0.354 0.730 0.757
0.580 0.250 0.234
0.935 0.580 0.234
0.250 0.935 0.234
0.002 0.002 0.995
0.516 0.516 0.451
0.808 0.808 0.577
0.326 0.326 0.021
```


# 6
The following is a PBE calculation of Mg2AlOs after structural relaxation, from the Alexandria database.

Computed properties:
spin magnetization	0.007	μB/cell
symmetry	No. 47
crystal system	orthorhombic
energy relative to the elements	0.50	eV per formula unit

POSCAR file:
```
Mg2AlOs
1.0
-2.329 1.505 0.325
0.152 -0.680 4.228
3.052 4.588 0.628
Mg Os Al
2 1 1
direct
0.000 0.000 0.013
0.000 0.000 0.487
0.500 0.500 0.250
0.500 0.500 0.750
```


# 7
The following is a PBE calculation of MnBOs2Pb after structural relaxation, from the Alexandria database.

Computed properties:
spin magnetization	0.000	μB/cell
symmetry	No. 123
crystal system	tetragonal
energy relative to the elements	6.88	eV per formula unit

POSCAR file:
```
MnBOs2Pb
1.0
4.567 0.000 0.000
0.000 3.913 0.000
0.000 0.000 4.567
B Mn Pb Os
1 1 1 2
direct
0.000 0.500 0.000
0.000 0.000 0.000
0.500 0.500 0.500
0.500 0.000 0.000
0.000 0.000 0.500
```


# 8
The following is a PBE calculation of SrMo2Pb after structural relaxation, from the Alexandria database.

Computed properties:
spin magnetization	0.000	μB/cell
symmetry	No. 122
crystal system	tetragonal
energy relative to the elements	5.57	eV per formula unit

POSCAR file:
```
SrMo2Pb
1.0
-2.882 3.112 -7.081
-4.090 -7.027 -1.424
-5.793 -0.899 -2.848
Mo Pb Sr
4 2 2
direct
0.085 0.625 0.250
0.375 0.335 0.750
0.665 0.125 0.250
0.875 0.915 0.750
0.750 0.250 0.500
0.000 0.000 0.000
0.250 0.750 0.500
0.500 0.500 0.000
```


# 9
The following is a PBE calculation of Zr2Tc2Pt after structural relaxation, from the Alexandria database.

Computed properties:
spin magnetization	0.000	μB/cell
symmetry	No. 127
crystal system	tetragonal
energy relative to the elements	-1.45	eV per formula unit

POSCAR file:
```
Zr2Tc2Pt
1.0
-1.079 -4.903 4.642
6.131 -2.681 -1.406
1.642 2.288 2.798
Tc Zr Pt
4 4 2
direct
0.380 0.880 0.000
0.120 0.380 0.000
0.880 0.620 0.000
0.620 0.120 0.000
0.182 0.682 0.500
0.318 0.182 0.500
0.818 0.318 0.500
0.682 0.818 0.500
0.500 0.500 0.000
0.000 0.000 0.000
```


# 10
The following is a PBE calculation of Y4HgW after structural relaxation, from the Alexandria database.

Computed properties:
spin magnetization	0.000	μB/cell
symmetry	No. 216
crystal system	cubic
energy relative to the elements	5.09	eV per formula unit

POSCAR file:
```
Y4HgW
1.0
-5.657 1.812 1.076
-2.751 3.752 -3.847
-4.522 -2.006 -3.460
Y W Hg
4 1 1
direct
0.374 0.879 0.374
0.374 0.374 0.879
0.879 0.374 0.374
0.374 0.374 0.374
0.000 0.000 0.000
0.750 0.750 0.750
```


# 11
The following is a PBE calculation of Nd2Ho2In3 after structural relaxation, from the Alexandria database.

Computed properties:
spin magnetization	0.000	μB/cell
offset from the most stable computed form	0	meV/atom
symmetry	No. 65
crystal system	orthorhombic
energy relative to the elements	-2.16	eV per formula unit

POSCAR file:
```
Nd2Ho2In3
1.0
-2.075 2.120 -3.570
2.025 -1.760 -2.222
-9.453 -8.002 -2.274
In Nd Ho
3 2 2
direct
0.000 0.000 0.000
0.150 0.000 0.700
0.850 0.000 0.300
0.572 0.500 0.856
0.428 0.500 0.144
0.704 0.500 0.593
0.296 0.500 0.407
```


# 12
The following is a PBE calculation of AcErMgBi after structural relaxation, from the Alexandria database.

Computed properties:
spin magnetization	0.000	μB/cell
symmetry	No. 216
crystal system	cubic
energy relative to the elements	-1.12	eV per formula unit

POSCAR file:
```
AcErMgBi
1.0
-4.343 2.879 2.197
-5.020 -0.032 -2.603
-4.359 -2.774 2.298
Ac Er Bi Mg
1 1 1 1
direct
0.250 0.250 0.250
0.750 0.750 0.750
0.000 0.000 0.000
0.500 0.500 0.500
```


# 13
The following is a PBE calculation of Tb2NdHo after structural relaxation, from the Alexandria database.

Computed properties:
spin magnetization	0.000	μB/cell
offset from the most stable computed form	13	meV/atom
symmetry	No. 123
crystal system	tetragonal
energy relative to the elements	0.08	eV per formula unit

POSCAR file:
```
Tb2NdHo
1.0
3.580 0.000 0.000
0.000 3.580 0.000
0.000 0.000 10.135
Nd Tb Ho
1 2 1
direct
0.500 0.500 0.500
0.000 0.000 0.245
0.000 0.000 0.755
0.500 0.500 0.000
```


# 14
The following is a PBE calculation of Cr3GaSi after structural relaxation, from the Alexandria database.

Computed properties:
spin magnetization	9.089	μB/cell
offset from the most stable computed form	273	meV/atom
symmetry	No. 221
crystal system	cubic
raw formation energy	6.11	eV/f.u.

POSCAR file:
```
Cr3GaSi
1.0
-0.268 2.808 3.570
-2.276 -3.177 2.328
3.930 -1.649 1.591
Cr Si Ga
3 1 1
direct
0.000 0.000 0.500
0.500 0.000 0.000
0.000 0.500 0.000
0.500 0.500 0.500
0.000 0.000 0.000
```


# 15
The following is a PBE calculation of SmY6Er3Sc2 after structural relaxation, from the Alexandria database.

Computed properties:
spin magnetization	0.000	μB/cell
symmetry	No. 12
crystal system	monoclinic
energy relative to the elements	0.53	eV per formula unit

POSCAR file:
```
SmY6Er3Sc2
1.0
-0.968 -5.666 1.976
5.370 2.675 0.970
-5.321 5.127 8.988
Y Sc Er Sm
6 2 3 1
direct
0.581 0.917 0.753
0.419 0.083 0.247
0.747 0.747 0.247
0.253 0.253 0.753
0.917 0.581 0.753
0.083 0.419 0.247
0.667 0.333 0.000
0.333 0.667 0.000
0.500 0.500 0.500
0.833 0.167 0.500
0.167 0.833 0.500
0.000 0.000 0.000
```


# 16
The following is a PBE calculation of LaY2Ta2 after structural relaxation, from the Alexandria database.

Computed properties:
spin magnetization	0.012	μB/cell
offset from the most stable computed form	214	meV/atom
symmetry	No. 139
crystal system	tetragonal
energy relative to the elements	3.21	eV per formula unit

POSCAR file:
```
LaY2Ta2
1.0
4.580 0.000 0.000
0.000 4.580 0.000
2.290 2.290 6.799
Ta Y La
2 2 1
direct
0.409 0.409 0.181
0.591 0.591 0.819
0.750 0.250 0.500
0.250 0.750 0.500
0.000 0.000 0.000
```


# 17
The following is a PBE calculation of CoCuRh2 after structural relaxation, from the Alexandria database.

Computed properties:
spin magnetization	2.524	μB/cell
offset from the most stable computed form	76	meV/atom
symmetry	No. 8
crystal system	monoclinic
energy relative to the elements	0.43	eV per formula unit

POSCAR file:
```
CoCuRh2
1.0
-3.559 2.189 1.945
-2.137 1.091 3.936
1.866 4.005 0.875
Rh Cu Co
2 1 1
direct
0.001 0.001 0.006
0.752 0.752 0.740
0.248 0.248 0.251
0.499 0.499 0.503
```


# 18
The following is a PBE calculation of Mg4Zn3In after structural relaxation, from the Alexandria database.

Computed properties:
spin magnetization	0.000	μB/cell
symmetry	No. 51
crystal system	orthorhombic
energy relative to the elements	-0.49	eV per formula unit

POSCAR file:
```
Mg4Zn3In
1.0
4.697 0.000 0.000
0.000 7.038 0.000
0.000 0.000 9.399
Mg Zn In
8 6 2
direct
0.500 0.233 0.000
0.003 0.233 0.750
0.997 0.767 0.250
0.500 0.233 0.500
0.500 0.767 0.500
0.997 0.233 0.250
0.500 0.767 0.000
0.003 0.767 0.750
0.000 0.000 0.000
0.000 0.000 0.500
0.502 0.500 0.750
0.498 0.500 0.250
0.503 0.000 0.750
0.497 0.000 0.250
0.000 0.500 0.500
0.000 0.500 0.000
```


# 19
The following is a PBE calculation of ReTcAu after structural relaxation, from the Alexandria database.

Computed properties:
spin magnetization	0.000	μB/cell
offset from the most stable computed form	657	meV/atom
symmetry	No. 216
crystal system	cubic
energy relative to the elements	2.47	eV per formula unit

POSCAR file:
```
ReTcAu
1.0
4.285 0.000 0.000
2.143 3.711 0.000
2.143 1.237 3.499
Tc Au Re
1 1 1
direct
0.000 0.000 0.000
0.500 0.500 0.500
0.750 0.750 0.750
```


# 20
The following is a PBE calculation of AlB2P after structural relaxation, from the Alexandria database.

Computed properties:
spin magnetization	0.000	μB/cell
offset from the most stable computed form	24	meV/atom
symmetry	No. 1
crystal system	triclinic
energy relative to the elements	0.17	eV per formula unit

POSCAR file:
```
AlB2P
1.0
3.296 -0.001 0.000
-1.047 5.101 -0.004
-0.637 -0.206 6.138
Al B P
2 4 2
direct
0.568 0.465 0.236
0.030 0.830 0.783
0.307 0.083 0.395
0.858 0.208 0.452
0.938 0.386 0.690
0.589 0.063 0.661
0.164 0.792 0.180
0.453 0.340 0.852
```


# 21
The following is a PBE calculation of CdOs3 after structural relaxation, from the Alexandria database.

Computed properties:
spin magnetization	7.443	μB/cell
offset from the most stable computed form	4037	meV/atom
symmetry	No. 221
crystal system	cubic
energy relative to the elements	17.10	eV per formula unit

POSCAR file:
```
CdOs3
1.0
5.021 0.000 0.000
0.000 5.021 0.000
0.000 0.000 5.021
Os Cd
3 1
direct
0.500 0.000 0.000
0.000 0.500 0.000
0.000 0.000 0.500
0.000 0.000 0.000
```


# 22
The following is a PBE calculation of AlCuTc2 after structural relaxation, from the Alexandria database.

Computed properties:
spin magnetization	0.000	μB/cell
symmetry	No. 12
crystal system	monoclinic
energy relative to the elements	0.11	eV per formula unit

POSCAR file:
```
AlCuTc2
1.0
-0.415 -1.622 -4.658
0.123 -3.474 3.524
-2.580 -0.600 0.034
Al Tc Cu
1 2 1
direct
0.500 0.000 0.500
0.000 0.000 0.000
0.500 0.500 0.000
0.000 0.500 0.500
```


# 23
The following is a PBE calculation of Tm6Cd2Ir after structural relaxation, from the Alexandria database.

Computed properties:
spin magnetization	0.000	μB/cell
symmetry	No. 14
crystal system	monoclinic
energy relative to the elements	-2.55	eV per formula unit

POSCAR file:
```
Tm6Cd2Ir
1.0
6.760 0.000 0.365
0.000 7.306 0.000
-0.305 0.000 10.267
Cd Tm Ir
4 12 2
direct
0.049 0.590 0.251
0.549 0.910 0.751
0.451 0.090 0.249
0.951 0.410 0.749
0.691 0.184 0.958
0.329 0.802 0.462
0.171 0.302 0.038
0.100 0.007 0.753
0.309 0.816 0.042
0.400 0.507 0.747
0.600 0.493 0.253
0.809 0.684 0.542
0.829 0.698 0.962
0.900 0.993 0.247
0.671 0.198 0.538
0.191 0.316 0.458
0.500 0.500 0.000
0.000 0.000 0.500
```


# 24
The following is a PBE calculation of InAg2Sb2 after structural relaxation, from the Alexandria database.

Computed properties:
spin magnetization	0.000	μB/cell
offset from the most stable computed form	12	meV/atom
symmetry	No. 127
crystal system	tetragonal
raw formation energy	0.55	eV/f.u.

POSCAR file:
```
InAg2Sb2
1.0
-2.066 -8.207 2.626
6.572 -3.247 -4.978
1.967 0.278 2.415
In Ag Sb
2 4 4
direct
0.500 0.500 0.000
0.000 0.000 0.000
0.138 0.638 0.500
0.362 0.138 0.500
0.638 0.862 0.500
0.862 0.362 0.500
0.658 0.158 0.000
0.342 0.842 0.000
0.842 0.658 0.000
0.158 0.342 0.000
```


# 25
The following is a PBE calculation of AcLaCuPd after structural relaxation, from the Alexandria database.

Computed properties:
spin magnetization	0.000	μB/cell
offset from the most stable computed form	0	meV/atom
symmetry	No. 38
crystal system	orthorhombic
energy relative to the elements	-1.90	eV per formula unit

POSCAR file:
```
AcLaCuPd
1.0
-1.997 -3.158 1.618
3.963 -2.521 -0.028
2.234 3.462 4.391
La Pd Ac Cu
1 1 1 1
direct
0.866 0.500 0.731
0.423 0.000 0.847
0.139 0.000 0.278
0.572 0.500 0.144
```


# 26
The following is a PBE calculation of TiSnAu4 after structural relaxation, from the Alexandria database.

Computed properties:
spin magnetization	0.599	μB/cell
symmetry	No. 10
crystal system	monoclinic
energy relative to the elements	-1.10	eV per formula unit

POSCAR file:
```
TiSnAu4
1.0
-0.583 -1.929 3.043
-0.907 -2.420 -1.708
10.749 -1.210 1.293
Au Ti Sn
4 1 1
direct
0.500 0.131 0.640
0.500 0.869 0.360
0.000 0.223 0.205
0.000 0.777 0.795
0.000 0.500 0.500
0.500 0.000 0.000
```